The following is a PBE calculation of an optimized crystal structure of BeTl3Au, from Alexandria via LeMat-Bulk.

Summary:
- Formation enthalpy at 0 K: 0.711 eV/atom
- Density of states at the Fermi level: 4.00 states/eV/cell
- Spin magnetization: 0.00 μB per cell

Unit cell a=5.551 b=5.551 c=5.551 alpha=90.00 beta=90.00 gamma=90.00
Space group Pm-3m (No. 221)
Inequivalent atoms, fractional coordinates:
Be  0.000  0.000  0.000 (multiplicity 1)
Tl  0.000  0.500  0.500 (multiplicity 3)
Au  0.500  0.500  0.500 (multiplicity 1)